(1)
8
Lattice="4.071 -8.163 0.000 4.071 8.163 0.000 0.000 0.000 5.893" Properties=species:S:1:pos:R:3 comment="CsHg3Te4 GGA-PBE optimized geometry" dos_at_fermi_per_ev_atom=0.312 space_group="Cmmm (65)" energy_ev_per_atom=-1.97 m_tot_mub_per_fu=0.00 pbc="T T T"
Cs 0.000 0.000 0.000
Hg 4.071 3.967 2.946
Hg 4.071 0.000 2.946
Hg 4.071 -3.967 2.946
Te 1.970 2.069 2.946
Te 1.970 -2.069 2.946
Te 6.172 2.069 2.946
Te 6.172 -2.069 2.946

(2)
10
Lattice="6.578 -2.975 0.000 6.578 2.975 0.000 -3.890 0.000 11.330" Properties=species:S:1:pos:R:3 comment="Cs2Hg2Te GGA-PBE optimized geometry" space_group="C2/m (12)" energy_ev_per_atom=-1.67 m_tot_mub_per_fu=0.00 pbc="T T T"
Cs -0.052 0.000 4.490
Cs 2.182 0.000 0.626
Cs 7.084 0.000 10.704
Cs 9.319 0.000 6.840
Hg 4.082 0.000 4.054
Hg 3.164 0.000 9.755
Hg 6.103 0.000 1.575
Hg 5.185 0.000 7.276
Te 0.342 0.000 8.330
Te 8.925 0.000 3.000

(3)
10
Lattice="7.187 0.000 0.000 3.575 7.539 0.000 3.560 0.021 7.621" Properties=species:S:1:pos:R:3 comment="CsHg2Te2 GGA-PBE optimized geometry" dos_at_fermi_per_ev_atom=0.293 space_group="P-1 (2)" energy_ev_per_atom=-1.95 m_tot_mub_per_fu=0.00 pbc="T T T"
Cs 2.689 1.875 1.909
Cs 11.633 5.685 5.712
Hg 4.432 5.643 0.107
Hg 6.245 1.905 3.919
Hg 8.077 5.656 3.702
Hg 9.890 1.918 7.514
Te 4.451 0.385 5.700
Te 6.270 4.177 1.904
Te 8.053 3.383 5.717
Te 9.871 7.175 1.921

(4)
5
Lattice="-3.564 3.564 4.997 3.564 -3.564 4.997 3.564 3.564 -4.997" Properties=species:S:1:pos:R:3 comment="Cs2Hg2Te GGA-PBE optimized geometry" dos_at_fermi_per_ev_atom=0.000 space_group="I4/mmm (139)" energy_ev_per_atom=-1.57 m_tot_mub_per_fu=0.00 pbc="T T T"
Cs 3.564 0.000 2.499
Cs 0.000 3.564 2.499
Hg 0.000 0.000 1.635
Hg 0.000 0.000 8.360
Te 0.000 0.000 4.997